KOs2Se: optimized geometry, PBE-GGA.

Properties
Uncorrected formation energy: 0.980 eV/atom

```
KOs2Se
1.0
-1.416 2.407 5.326
1.416 -2.407 5.326
1.416 2.407 -5.326
K Os Se
1 2 1
direct
0.000 0.000 0.000
0.284 0.784 0.500
0.716 0.216 0.500
0.500 0.500 0.000
```



KTi2OsSe: optimized geometry, PBE-GGA.

Properties
Uncorrected formation energy: 0.437 eV/atom

```
KTi2OsSe
1.0
4.727 0.000 0.000
0.000 4.727 0.000
0.000 0.000 5.687
K Ti Os Se
1 2 1 1
direct
0.000 0.000 0.000
0.000 0.500 0.500
0.500 0.000 0.500
0.500 0.500 0.500
0.500 0.500 0.000
```



KOsW2Se: optimized geometry, PBE-GGA.

Properties
Uncorrected formation energy: 1.896 eV/atom

```
KOsW2Se
1.0
4.735 0.000 0.000
0.000 4.735 0.000
0.000 0.000 4.714
K Os W Se
1 1 2 1
direct
0.000 0.000 0.000
0.500 0.500 0.000
0.000 0.500 0.500
0.500 0.000 0.500
0.500 0.500 0.500
```



KOsWSe2: optimized geometry, PBE-GGA.

Properties
Uncorrected formation energy: 0.603 eV/atom

```
KOsWSe2
1.0
5.059 0.000 0.000
0.000 5.059 0.000
0.000 0.000 4.903
K Os W Se
1 1 1 2
direct
0.000 0.000 0.000
0.500 0.500 0.000
0.500 0.500 0.500
0.000 0.500 0.500
0.500 0.000 0.500
```